FeCo2Au2, relaxed, DFT PBE-GGA; total DFT energy (no corrections) = -5.550 eV per atom; V = 73.3 Å³/f.u.; space-group type = P4/mbm (127)
1.0
6.144 0.000 0.000
0.000 6.144 0.000
0.000 0.000 3.886
Fe Co Au
2 4 4
direct
0.000 0.000 0.000
0.500 0.500 0.000
0.130 0.370 0.000
0.370 0.870 0.000
0.630 0.130 0.000
0.870 0.630 0.000
0.172 0.672 0.500
0.328 0.172 0.500
0.672 0.828 0.500
0.828 0.328 0.500


FeCoAu2, relaxed, DFT PBE-GGA; total DFT energy (no corrections) = -5.350 eV per atom; V = 61.3 Å³/f.u.; space-group type = R3m (160)
1.0
1.441 0.832 8.525
-1.441 0.832 8.525
0.000 -1.664 8.525
Fe Co Au
1 1 2
direct
0.000 0.000 0.000
0.731 0.731 0.731
0.248 0.248 0.248
0.484 0.484 0.484